## TbNdZnNi (PBE)

Data for a relaxed structure of TbNdZnNi.

Calculated values
Crystal system: orthorhombic
Polymorph energy (0 for the lowest one) (eV per atom): 0.000
D(E_F) (states/eV/cell): 3.14

a b c (Å): 3.889 4.452 5.666
angles (deg): 90.00 110.07 90.00
Fractional coordinates of all 4 atoms:
Ni1 0.435 0.000 0.869
Zn1 0.565 0.500 0.131
Tb1 0.859 0.500 0.717
Nd1 0.141 0.000 0.282

---

## EuPuHg4 (PBE)

Data for a relaxed structure of EuPuHg4.

Calculated values
Crystal system: cubic
D(E_F) (states/eV/cell): 14.84
Final energy (eV/atom): -4.459

a b c (Å): 6.077 6.077 6.077
angles (deg): 60.00 60.00 60.00
Each line ends with the local moment (μB).
Fractional coordinates of all 6 atoms:
Pu1 0.250 0.250 0.250  5.67
Hg1 0.125 0.625 0.625  0.02
Hg2 0.625 0.625 0.625  0.02
Hg3 0.625 0.125 0.625  0.02
Hg4 0.625 0.625 0.125  0.02
Eu1 0.000 0.000 0.000  6.92

---

## CsTbCl4 (PBE)

Data for a relaxed structure of CsTbCl4.

Calculated values
Crystal system: tetragonal
Polymorph energy (0 for the lowest one) (eV per atom): 0.055
D(E_F) (states/eV/cell): 0.00
Uncorrected formation energy (eV per atom): -2.11

a b c (Å): 4.754 4.754 8.264
angles (deg): 90.00 90.00 90.00
Fractional coordinates of all 6 atoms:
Tb1 0.500 0.500 0.500
Cl1 0.500 0.000 0.308
Cl2 0.000 0.500 0.692
Cl3 0.500 0.000 0.692
Cl4 0.000 0.500 0.308
Cs1 0.000 0.000 0.000

---

## Ta2CrMo (PBE)

Data for a relaxed structure of Ta2CrMo.

Calculated values
Crystal system: orthorhombic
D(E_F) (states/eV/cell): 4.67
Final energy (eV/atom): -11.016

a b c (Å): 2.811 2.811 8.647
angles (deg): 90.00 90.00 109.99
Fractional coordinates of all 4 atoms:
Ta1 0.000 0.000 0.013
Ta2 0.000 0.000 0.487
Cr1 0.500 0.500 0.250
Mo1 0.500 0.500 0.750